Record 1
The following is a DFT calculation (GGA-PBE) of crystalline DyFeSi2Ru at its relaxed geometry.

Cell and atoms, written as extended XYZ:
```
5
Lattice="-2.031 2.031 4.807 2.031 -2.031 4.807 2.031 2.031 -4.807" Properties=species:S:1:pos:R:3 pbc="T T T"
Dy 0.000 0.000 0.000
Fe 0.000 2.031 2.403
Si 0.000 0.000 3.549
Si 0.000 0.000 6.064
Ru 2.031 0.000 2.403
```

- Formation energy (no corrections): -3.87 eV per formula unit
- Space group: No. 119
- Crystal system: tetragonal

=====

Record 2
The following is a DFT calculation (GGA-PBE) of crystalline SrYbAl3SiN4O3 at its relaxed geometry.

Cell and atoms, written as extended XYZ:
```
26
Lattice="6.114 0.000 0.000 -3.057 5.295 0.000 0.000 0.000 10.176" Properties=species:S:1:pos:R:3 pbc="T T T"
Sr 0.000 3.530 0.000
Sr 3.057 1.765 5.088
Yb 0.000 3.530 3.842
Yb 3.057 1.765 8.930
Al 0.000 1.751 6.943
Al -1.540 4.419 6.943
Al 1.517 0.876 1.854
Al 1.540 4.419 6.943
Al 4.597 0.876 1.854
Al 3.057 3.544 1.854
Si 0.000 0.000 4.512
Si 0.000 0.000 9.600
N 0.000 0.000 2.683
N 0.000 0.000 7.771
N 0.000 1.620 5.106
N -1.654 4.485 5.106
N 1.403 0.810 0.018
N 1.654 4.485 5.106
N 4.711 0.810 0.018
N 3.057 3.675 0.018
O -1.430 2.704 7.481
O 1.430 2.704 7.481
O 0.000 5.182 7.481
O 3.057 0.113 2.393
O 1.627 2.591 2.393
O 4.488 2.591 2.393
```

- Formation energy (no corrections): -25.25 eV per formula unit
- Space group: No. 186
- Crystal system: hexagonal

=====

Record 3
The following is a DFT calculation (GGA-PBE) of crystalline NiSn6Rh2 at its relaxed geometry.

Cell and atoms, written as extended XYZ:
```
18
Lattice="6.763 0.000 0.000 0.000 6.666 0.000 -6.202 0.000 8.394" Properties=species:S:1:pos:R:3 pbc="T T T"
Ni 0.000 0.000 0.000
Ni -3.101 3.333 4.197
Sn -2.061 1.080 3.552
Sn -5.163 2.253 7.749
Sn -0.749 4.435 3.714
Sn -3.850 5.563 7.911
Sn -2.005 3.524 6.502
Sn 1.096 6.475 2.305
Sn -0.536 0.191 6.089
Sn 2.565 3.142 1.892
Sn 4.411 1.103 0.483
Sn 1.310 2.230 4.681
Sn 5.723 4.413 0.645
Sn 2.622 5.585 4.842
Rh -3.101 1.100 6.211
Rh 0.000 2.233 2.014
Rh 0.560 4.433 6.380
Rh 3.661 5.566 2.183
```

- Energy relative to the lowest polymorph listed for this composition: 0 meV per atom
- Space group: No. 14
- Crystal system: monoclinic
- Formation energy from the elements: -0.2587 eV per atom